The following is a PBE-GGA calculation of a relaxed LiCeSnRh crystal, from Alexandria via LeMat-Bulk.

Summary:
Energy of formation, eV/atom: -0.65
Calculated density, g/cm³: 7.93

```
4
Lattice="4.7790 0.0000 0.0000 2.3895 4.1387 0.0000 2.3895 1.3796 3.9020" Properties=species:S:1:pos:R:3 pbc="T T T"
Sn 4.7790 2.7591 1.9510
Rh 7.1685 4.1387 2.9265
Li 2.3895 1.3796 0.9755
Ce 0.0000 0.0000 0.0000
```